Density functional theory data (PBE) for an optimized crystal structure of BeIn.

Unit cell a=5.089 b=5.089 c=5.089 alpha=133.05 beta=133.05 gamma=68.58
Positions (direct):
Be 0.375 0.625 0.750
Be 0.625 0.375 0.250
In 0.125 0.875 0.250
In 0.875 0.125 0.750

Summary:
DFT formation energy	1.27	eV per formula unit
density	6.0	g cm⁻³
VASP energy	-2.595	eV per atom
space-group type	I4_1/amd
E above lowest polymorph	351	meV per atom